[1]
DFT (PBE-GGA) results for a relaxed Al2CdF8 crystal.

```
data_Al2CdF8
_space_group_name_H-M_alt 'P 1'
_space_group_IT_number 1
_cell_length_a 5.6005
_cell_length_b 5.6005
_cell_length_c 5.0791
_cell_angle_alpha 96.30
_cell_angle_beta 96.30
_cell_angle_gamma 62.42
loop_
_space_group_symop_operation_xyz
'x,y,z'
loop_
_atom_site_label
_atom_site_type_symbol
_atom_site_fract_x
_atom_site_fract_y
_atom_site_fract_z
_atom_site_occupancy
Al1 Al 0.2233 0.2233 0.4859 1
Al2 Al 0.7767 0.7767 0.5141 1
Cd1 Cd 0.5000 0.5000 0.0000 1
F1 F 0.1127 0.1127 0.7246 1
F2 F 0.1320 0.5729 0.6654 1
F3 F 0.3265 0.3265 0.2188 1
F4 F 0.4271 0.8680 0.3346 1
F5 F 0.5729 0.1320 0.6654 1
F6 F 0.6735 0.6735 0.7812 1
F7 F 0.8680 0.4271 0.3346 1
F8 F 0.8873 0.8873 0.2754 1
```

- Space-group type: C2/m (12)
- ΔE_f (raw): -3.018 eV/atom
- Crystal system: monoclinic
- E: -5.142 eV/atom



[2]
DFT (PBE-GGA) results for a relaxed Al2CdF crystal.

```
data_Al2CdF
_space_group_name_H-M_alt 'P 1'
_space_group_IT_number 1
_cell_length_a 7.5555
_cell_length_b 7.5555
_cell_length_c 7.5555
_cell_angle_alpha 141.92
_cell_angle_beta 141.92
_cell_angle_gamma 54.96
loop_
_space_group_symop_operation_xyz
'x,y,z'
loop_
_atom_site_label
_atom_site_type_symbol
_atom_site_fract_x
_atom_site_fract_y
_atom_site_fract_z
_atom_site_occupancy
Al1 Al 0.3750 0.2436 0.3686 1
Al2 Al 0.7564 0.1250 0.1314 1
Al3 Al 0.8750 0.0064 0.6314 1
Al4 Al 0.9936 0.6250 0.8686 1
Cd1 Cd 0.2500 0.7500 0.5000 1
Cd2 Cd 0.5000 0.5000 0.0000 1
F1 F 0.0000 0.0000 0.0000 1
F2 F 0.7500 0.2500 0.5000 1
```

- Space-group type: I-42d (122)
- ΔE_f (raw): -0.515 eV/atom
- Crystal system: tetragonal
- Relative energy among the computed polymorphs: 0.0000 eV/atom
- E: -3.083 eV/atom



[3]
DFT (PBE-GGA) results for a relaxed AlCdF3 crystal.

```
data_AlCdF3
_space_group_name_H-M_alt 'P 1'
_space_group_IT_number 1
_cell_length_a 4.4511
_cell_length_b 4.4511
_cell_length_c 4.4511
_cell_angle_alpha 90.00
_cell_angle_beta 90.00
_cell_angle_gamma 90.00
loop_
_space_group_symop_operation_xyz
'x,y,z'
loop_
_atom_site_label
_atom_site_type_symbol
_atom_site_fract_x
_atom_site_fract_y
_atom_site_fract_z
_atom_site_occupancy
Al1 Al 0.0000 0.0000 0.0000 1
Cd1 Cd 0.5000 0.5000 0.5000 1
F1 F 0.0000 0.5000 0.5000 1
F2 F 0.5000 0.0000 0.5000 1
F3 F 0.5000 0.5000 0.0000 1
```

- Space-group type: Pm-3m (221)
- ΔE_f (raw): -1.677 eV/atom
- Crystal system: cubic
- Relative energy among the computed polymorphs: 0.4220 eV/atom
- E: -3.732 eV/atom



[4]
DFT (PBE-GGA) results for a relaxed AlCdGaF6 crystal.

```
data_AlCdGaF6
_space_group_name_H-M_alt 'P 1'
_space_group_IT_number 1
_cell_length_a 5.5956
_cell_length_b 5.5956
_cell_length_c 5.2822
_cell_angle_alpha 90.00
_cell_angle_beta 90.00
_cell_angle_gamma 120.00
loop_
_space_group_symop_operation_xyz
'x,y,z'
loop_
_atom_site_label
_atom_site_type_symbol
_atom_site_fract_x
_atom_site_fract_y
_atom_site_fract_z
_atom_site_occupancy
Al1 Al 0.0000 0.0000 0.0000 1
Cd1 Cd 0.6667 0.3333 0.0000 1
Ga1 Ga 0.3333 0.6667 0.5000 1
F1 F 0.2773 0.0125 0.1981 1
F2 F 0.2773 0.2648 0.8019 1
F3 F 0.7352 0.0125 0.8019 1
F4 F 0.7352 0.7227 0.1981 1
F5 F 0.9875 0.2648 0.1981 1
F6 F 0.9875 0.7227 0.8019 1
```

- Space-group type: P312 (149)
- ΔE_f (raw): -2.649 eV/atom
- Crystal system: trigonal
- E: -4.750 eV/atom



[5]
DFT (PBE-GGA) results for a relaxed AlCdInF6 crystal.

```
data_AlCdInF6
_space_group_name_H-M_alt 'P 1'
_space_group_IT_number 1
_cell_length_a 5.6203
_cell_length_b 5.6203
_cell_length_c 5.6683
_cell_angle_alpha 90.00
_cell_angle_beta 90.00
_cell_angle_gamma 120.00
loop_
_space_group_symop_operation_xyz
'x,y,z'
loop_
_atom_site_label
_atom_site_type_symbol
_atom_site_fract_x
_atom_site_fract_y
_atom_site_fract_z
_atom_site_occupancy
Al1 Al 0.0000 0.0000 0.0000 1
Cd1 Cd 0.6667 0.3333 0.0000 1
In1 In 0.3333 0.6667 0.5000 1
F1 F 0.2773 0.0163 0.1856 1
F2 F 0.2773 0.2610 0.8144 1
F3 F 0.7390 0.0163 0.8144 1
F4 F 0.7390 0.7227 0.1856 1
F5 F 0.9837 0.2610 0.1856 1
F6 F 0.9837 0.7227 0.8144 1
```

- Space-group type: P312 (149)
- ΔE_f (raw): -2.685 eV/atom
- Crystal system: trigonal
- E: -4.755 eV/atom



[6]
DFT (PBE-GGA) results for a relaxed AlCdIn2F6 crystal.

```
data_AlCdIn2F6
_space_group_name_H-M_alt 'P 1'
_space_group_IT_number 1
_cell_length_a 5.2493
_cell_length_b 5.8809
_cell_length_c 6.1475
_cell_angle_alpha 71.47
_cell_angle_beta 68.42
_cell_angle_gamma 66.37
loop_
_space_group_symop_operation_xyz
'x,y,z'
loop_
_atom_site_label
_atom_site_type_symbol
_atom_site_fract_x
_atom_site_fract_y
_atom_site_fract_z
_atom_site_occupancy
Al1 Al 0.0000 0.0000 0.0000 1
Cd1 Cd 0.5000 0.5000 0.5000 1
In1 In 0.2196 0.2771 0.2958 1
In2 In 0.7804 0.7229 0.7042 1
F1 F 0.1165 0.9257 0.2700 1
F2 F 0.1624 0.6680 0.9659 1
F3 F 0.3402 0.0565 0.8147 1
F4 F 0.6598 0.9435 0.1853 1
F5 F 0.8376 0.3320 0.0341 1
F6 F 0.8835 0.0743 0.7300 1
```

- Space-group type: P-1 (2)
- ΔE_f (raw): -2.344 eV/atom
- Crystal system: triclinic
- E: -4.480 eV/atom